A plane-wave DFT calculation with GGA-PBEsol was carried out for a relaxed BeCdCu2 crystal.

POSCAR file:
```
BeCdCu2
1.0
2.8536 0.0000 0.0000
0.0000 4.2292 0.0000
0.0000 0.0000 8.2542
Be Cd Cu
2 2 4
Direct
0.0000 0.0000 0.0000
0.5000 0.5000 0.5000
0.0000 0.0000 0.5000
0.5000 0.5000 0.0000
0.0000 0.5000 0.2800
0.0000 0.5000 0.7200
0.5000 0.0000 0.2200
0.5000 0.0000 0.7800
```

Summary:
Size of the total moment, μB per atom: 0.000
Formation enthalpy at 0 K, eV per formula unit: 0.41
V, Å³/atom: 12.5



A plane-wave DFT calculation with GGA-PBEsol was carried out for a relaxed Li3VS4 crystal.

POSCAR file:
```
Li3VS4
1.0
7.6670 0.0000 0.0000
0.0000 6.7148 0.0000
0.0000 0.0000 6.2618
Li V S
6 2 8
Direct
0.0000 0.1509 0.0000
0.2451 0.3256 0.4930
0.2549 0.6744 0.9930
0.5000 0.8491 0.5000
0.7451 0.6744 0.9930
0.7549 0.3256 0.4930
0.0000 0.8226 0.4952
0.5000 0.1774 0.9952
0.0000 0.1236 0.6085
0.0000 0.8209 0.1540
0.2309 0.6728 0.6048
0.2691 0.3272 0.1048
0.5000 0.1791 0.6540
0.5000 0.8764 0.1085
0.7309 0.3272 0.1048
0.7691 0.6728 0.6048
```

Summary:
Size of the total moment, μB per atom: 0.000
Uncorrected formation energy, eV/atom: -1.06
V, Å³/atom: 20.1



A plane-wave DFT calculation with GGA-PBEsol was carried out for a relaxed K2HgRh crystal.

POSCAR file:
```
K2HgRh
1.0
4.2513 0.0000 0.0000
0.0000 4.2513 0.0000
0.0000 0.0000 10.3116
K Hg Rh
4 2 2
Direct
0.0000 0.5000 0.2500
0.0000 0.5000 0.7500
0.5000 0.0000 0.2500
0.5000 0.0000 0.7500
0.0000 0.0000 0.0000
0.5000 0.5000 0.5000
0.0000 0.0000 0.5000
0.5000 0.5000 0.0000
```

Summary:
Size of the total moment, μB per atom: 0.000
Formation enthalpy at 0 K, eV per formula unit: 1.77
V, Å³/atom: 23.3



A plane-wave DFT calculation with GGA-PBEsol was carried out for a relaxed KTeF2 crystal.

POSCAR file:
```
KTeF2
1.0
3.2825 0.0000 0.0000
-1.6413 2.8428 0.0000
0.0000 0.0000 25.7174
K Te F
3 3 6
Direct
0.0000 0.0000 0.0000
0.3333 0.6667 0.6667
0.6667 0.3333 0.3333
0.0000 0.0000 0.5000
0.3333 0.6667 0.1667
0.6667 0.3333 0.8333
0.0000 0.0000 0.0886
0.0000 0.0000 0.9114
0.3333 0.6667 0.5780
0.3333 0.6667 0.7553
0.6667 0.3333 0.2447
0.6667 0.3333 0.4220
```

Summary:
Size of the total moment, μB per atom: 0.000
Uncorrected formation energy, eV/atom: -1.18
V, Å³/atom: 20.0



Please write out number 4 again, unchanged.
A plane-wave DFT calculation with GGA-PBEsol was carried out for a relaxed KTeF2 crystal.

POSCAR file:
```
KTeF2
1.0
3.2825 0.0000 0.0000
-1.6413 2.8428 0.0000
0.0000 0.0000 25.7174
K Te F
3 3 6
Direct
0.0000 0.0000 0.0000
0.3333 0.6667 0.6667
0.6667 0.3333 0.3333
0.0000 0.0000 0.5000
0.3333 0.6667 0.1667
0.6667 0.3333 0.8333
0.0000 0.0000 0.0886
0.0000 0.0000 0.9114
0.3333 0.6667 0.5780
0.3333 0.6667 0.7553
0.6667 0.3333 0.2447
0.6667 0.3333 0.4220
```

Summary:
Size of the total moment, μB per atom: 0.000
Uncorrected formation energy, eV/atom: -1.18
V, Å³/atom: 20.0



Look up the size of the total moment of the first one. 0.000 μB per atom